[1]
4
Lattice="-2.591 1.260 2.090 1.022 -3.211 3.203 3.019 2.932 1.976" Properties=species:S:1:pos:R:3 comment="GGA-PBE LaMgTc2, optimized geometry" spacegroup="P4/mmm (123)" formation_energy_mev_per_atom=501 pbc="T T T"
Mg 0.214 2.096 2.033
Tc 2.021 -0.139 2.589
Tc 0.000 0.000 0.000
La -0.784 -0.975 2.646

***

[2]
4
Lattice="-0.206 -3.147 3.940 -4.072 -0.048 2.981 -3.143 -3.947 -0.085" Properties=species:S:1:pos:R:3 comment="GGA-PBE TlBiP2, optimized geometry" spacegroup="Fm-3m (225)" relative_energy_ev_per_fu=0.66 formation_energy_mev_per_atom=505 pbc="T T T"
P -5.566 -5.357 5.127
P -1.855 -1.786 1.709
Bi -3.710 -3.571 3.418
Tl 0.000 0.000 0.000

***

These records have energy values of -0.23196; -0.13823 hartree per atom, in the order they appear.